A geometry-optimized Dy6Sc12In structure. Source: Alexandria, functional PBE.

## Properties
**Symmetry**: R-3 (148)
**ΔE_f**: 0.097 eV per atom
**Mass density**: 5271 kg/m3

Cell: 8.021 8.021 8.021 Å, 93.37 93.37 93.37°
Element x y z (fractional)
Sc 0.469 0.786 0.534
Sc 0.058 0.141 0.369
Sc 0.141 0.369 0.058
Sc 0.859 0.631 0.942
Sc 0.466 0.531 0.214
Sc 0.369 0.058 0.141
Sc 0.214 0.466 0.531
Sc 0.531 0.214 0.466
Sc 0.942 0.859 0.631
Sc 0.534 0.469 0.786
Sc 0.786 0.534 0.469
Sc 0.631 0.942 0.859
Dy 0.883 0.263 0.716
Dy 0.737 0.284 0.117
Dy 0.117 0.737 0.284
Dy 0.716 0.883 0.263
Dy 0.263 0.716 0.883
Dy 0.284 0.117 0.737
In 0.000 0.000 0.000